No. 1
AgHgCl6 | PBE | optimized geometry

Properties
DFT total energy: -16.38 eV per cell

Lattice parameters (Å, degrees): 7.7923 6.4490 6.7182 74.61 54.34 78.93
Fractional positions:
Cl: 0.3560 0.8710 0.8410
Cl: 0.6440 0.1290 0.1590
Cl: 0.1519 0.4383 0.6775
Cl: 0.1100 0.9689 0.3177
Cl: 0.8481 0.5617 0.3225
Cl: 0.8900 0.0311 0.6823
Ag: 0.0000 0.0000 0.0000
Hg: 0.5000 0.5000 0.5000

No. 2
KHfCu2S4 | PBE | optimized geometry

Properties
DFT total energy: -42.15 eV per cell

Lattice parameters (Å, degrees): 6.1457 6.4584 6.4584 71.65 61.59 61.59
Fractional positions:
Cu: 0.8541 0.6459 0.6459
Cu: 0.1459 0.3541 0.3541
K: 0.0000 0.0000 0.0000
Hf: 0.5000 0.5000 0.5000
S: 0.8907 0.5191 0.1527
S: 0.1093 0.8473 0.4809
S: 0.5625 0.4809 0.8473
S: 0.4375 0.1527 0.5191

No. 3
Ta2AlAg | PBE | optimized geometry

Properties
Calculated formation energy: 0.31 eV/atom
DFT total energy: -29.07 eV per cell
Energy above the most stable polymorph in this dataset: 315 meV/atom

Lattice parameters (Å, degrees): 4.6145 4.6145 4.6145 60.00 60.00 60.00
Fractional positions:
Ta: 0.2500 0.2500 0.2500
Ta: 0.7500 0.7500 0.7500
Al: 0.0000 0.0000 0.0000
Ag: 0.5000 0.5000 0.5000

No. 4
Na2RePd | PBE | optimized geometry

Properties
Calculated formation energy: 1.26 eV/atom
DFT total energy: -15.22 eV per cell

Lattice parameters (Å, degrees): 4.7850 4.7850 4.7850 60.00 60.00 60.00
Fractional positions:
Re: 0.5000 0.5000 0.5000
Pd: 0.0000 0.0000 0.0000
Na: 0.7500 0.7500 0.7500
Na: 0.2500 0.2500 0.2500

No. 5
B2RuPbBr | PBE | optimized geometry

Properties
DFT total energy: -16.13 eV per cell
Energy above the most stable polymorph in this dataset: 1835 meV/atom

Lattice parameters (Å, degrees): 4.5561 5.7721 4.5561 90.00 90.00 90.00
Fractional positions:
B: 0.5000 0.0000 0.0000
B: 0.0000 0.0000 0.5000
Br: 0.0000 0.5000 0.0000
Ru: 0.5000 0.5000 0.5000
Pb: 0.0000 0.0000 0.0000

No. 6
Tb2CeY2 | PBE | optimized geometry

Properties
Calculated formation energy: 0.42 eV/atom
DFT total energy: -26.01 eV per cell

Lattice parameters (Å, degrees): 4.5027 4.5027 9.0633 104.38 104.38 90.00
Fractional positions:
Ce: 0.0000 0.0000 0.0000
Y: 0.5945 0.5945 0.1890
Y: 0.4055 0.4055 0.8110
Tb: 0.2500 0.7500 0.5000
Tb: 0.7500 0.2500 0.5000

No. 7
GeHN | PBE | optimized geometry

Properties
DFT total energy: -15.68 eV per cell
Energy above the most stable polymorph in this dataset: 254 meV/atom

Lattice parameters (Å, degrees): 2.8718 2.8718 5.1242 106.27 106.27 90.00
Fractional positions:
H: 0.0140 0.0140 0.0280
Ge: 0.7119 0.7119 0.4237
N: 0.1241 0.1241 0.2482

No. 8
KZnTc | PBE | optimized geometry

Properties
Calculated formation energy: 0.71 eV/atom
DFT total energy: -10.60 eV per cell
Energy above the most stable polymorph in this dataset: 0 meV/atom

Lattice parameters (Å, degrees): 6.6081 6.6081 6.6081 157.03 141.32 45.47
Fractional positions:
Zn: 0.7232 0.7232 0.0000
Tc: 0.2773 0.2773 0.0000
K: 0.9995 0.9995 0.0000

No. 9
AcPmSmBi | PBE | optimized geometry

Properties
Calculated formation energy: -0.21 eV/atom
DFT total energy: -18.28 eV per cell

Lattice parameters (Å, degrees): 5.7087 5.7087 5.7087 60.00 60.00 60.00
Fractional positions:
Ac: 0.7500 0.7500 0.7500
Bi: 0.2500 0.2500 0.2500
Sm: 0.0000 0.0000 0.0000
Pm: 0.5000 0.5000 0.5000

No. 10
Na2Mg3Sn4Pb | PBE | optimized geometry

Properties
Calculated formation energy: -0.09 eV/atom
DFT total energy: -28.06 eV per cell

Lattice parameters (Å, degrees): 4.8182 4.8182 12.7752 90.00 90.00 90.00
Fractional positions:
Sn: 0.0000 0.5000 0.3540
Sn: 0.5000 0.0000 0.6460
Sn: 0.5000 0.5000 0.0000
Sn: 0.0000 0.0000 0.0000
Na: 0.0000 0.5000 0.7663
Na: 0.5000 0.0000 0.2337
Pb: 0.5000 0.5000 0.5000
Mg: 0.0000 0.0000 0.5000
Mg: 0.5000 0.0000 0.8662
Mg: 0.0000 0.5000 0.1338

No. 11
Th4PPt2Se | PBE | optimized geometry

Properties
DFT total energy: -61.16 eV per cell

Lattice parameters (Å, degrees): 4.1240 7.5969 7.1268 71.85 90.00 90.00
Fractional positions:
Th: 0.5000 0.2448 0.7448
Th: 0.5000 0.7552 0.2552
Th: 0.0000 0.7606 0.7396
Th: 0.0000 0.2394 0.2604
P: 0.0000 0.5000 0.5000
Pt: 0.0000 0.0000 0.0000
Pt: 0.5000 0.0000 0.5000
Se: 0.5000 0.5000 0.0000

No. 12
Ac2HoH | PBE | optimized geometry

Properties
DFT total energy: -15.64 eV per cell
Energy above the most stable polymorph in this dataset: 0 meV/atom

Lattice parameters (Å, degrees): 3.7512 3.7512 10.4986 79.71 79.71 60.00
Fractional positions:
Ac: 0.1150 0.1150 0.6549
Ac: 0.8850 0.8850 0.3451
Ho: 0.0000 0.0000 0.0000
H: 0.5000 0.5000 0.5000

No. 13
Ce3SmRh2 | PBE | optimized geometry

Properties
Calculated formation energy: -0.48 eV/atom
DFT total energy: -80.26 eV per cell

Lattice parameters (Å, degrees): 4.5818 8.4421 8.4347 116.61 90.00 105.75
Fractional positions:
Rh: 0.4775 0.9549 0.8086
Rh: 0.7600 0.5199 0.1167
Rh: 0.2400 0.4801 0.8833
Rh: 0.5225 0.0451 0.1914
Ce: 0.0679 0.1357 0.4307
Ce: 0.2907 0.5813 0.6317
Ce: 0.7093 0.4187 0.3683
Ce: 0.6241 0.2482 0.6941
Ce: 0.9321 0.8643 0.5693
Ce: 0.3759 0.7518 0.3059
Sm: 0.1107 0.2215 0.0283
Sm: 0.8893 0.7785 0.9717

No. 14
Tb12Al3C5 | PBE | optimized geometry

Properties
Calculated formation energy: -0.09 eV/atom
DFT total energy: -459.19 eV per cell

Lattice parameters (Å, degrees): 13.7145 13.7145 13.7145 109.47 109.47 109.47
Fractional positions:
Tb: 0.5866 0.8838 0.4049
Tb: 0.1162 0.7028 0.5211
Tb: 0.9134 0.0951 0.6162
Tb: 0.8838 0.2972 0.4789
Tb: 0.6162 0.0211 0.2028
Tb: 0.9049 0.8183 0.5211
Tb: 0.7028 0.1162 0.0211
Tb: 0.2028 0.6817 0.0866
Tb: 0.0951 0.1817 0.4789
Tb: 0.6817 0.4789 0.5951
Tb: 0.3183 0.5211 0.4049
Tb: 0.7028 0.5866 0.1817
Tb: 0.3838 0.9789 0.7972
Tb: 0.9789 0.5951 0.1817
Tb: 0.4134 0.2972 0.3183
Tb: 0.9789 0.3838 0.2972
Tb: 0.0866 0.9049 0.3838
Tb: 0.5866 0.7028 0.6817
Tb: 0.8183 0.9134 0.2972
Tb: 0.2028 0.5211 0.6162
Tb: 0.5211 0.3183 0.9049
Tb: 0.1817 0.0866 0.7028
Tb: 0.8183 0.9049 0.0211
Tb: 0.0951 0.9134 0.1162
Tb: 0.2972 0.4134 0.8183
Tb: 0.0866 0.1817 0.2028
Tb: 0.2972 0.8838 0.9789
Tb: 0.9134 0.8183 0.7972
Tb: 0.4789 0.7972 0.8838
Tb: 0.9049 0.0866 0.8838
Tb: 0.0211 0.6162 0.7028
Tb: 0.3838 0.4049 0.0866
Tb: 0.5951 0.6162 0.4134
Tb: 0.5951 0.9789 0.6817
Tb: 0.1817 0.0951 0.9789
Tb: 0.4134 0.1162 0.5951
Tb: 0.5211 0.2028 0.1162
Tb: 0.0211 0.4049 0.8183
Tb: 0.4049 0.0211 0.3183
Tb: 0.7972 0.3183 0.9134
Tb: 0.6817 0.2028 0.5866
Tb: 0.6162 0.5951 0.9134
Tb: 0.4789 0.6817 0.0951
Tb: 0.3183 0.7972 0.4134
Tb: 0.1162 0.4134 0.0951
Tb: 0.7972 0.4789 0.3838
Tb: 0.8838 0.5866 0.9049
Tb: 0.4049 0.3838 0.5866
Al: 0.3750 0.7500 0.6250
Al: 0.6250 0.3750 0.7500
Al: 0.1250 0.2500 0.8750
Al: 0.6250 0.2500 0.3750
Al: 0.7500 0.8750 0.6250
Al: 0.2500 0.6250 0.8750
Al: 0.1250 0.8750 0.7500
Al: 0.8750 0.1250 0.2500
Al: 0.7500 0.3750 0.1250
Al: 0.3750 0.6250 0.2500
Al: 0.8750 0.7500 0.1250
Al: 0.2500 0.1250 0.3750
C: 0.1250 0.7500 0.3750
C: 0.5000 0.5000 0.5000
C: 0.0000 0.0000 0.5000
C: 0.3750 0.2500 0.1250
C: 0.2500 0.3750 0.6250
C: 0.0000 0.5000 0.5000
C: 0.5000 0.5000 0.0000
C: 0.8750 0.6250 0.7500
C: 0.8750 0.2500 0.6250
C: 0.7500 0.6250 0.3750
C: 0.1250 0.3750 0.2500
C: 0.0000 0.0000 0.0000
C: 0.6250 0.8750 0.2500
C: 0.7500 0.1250 0.8750
C: 0.6250 0.7500 0.8750
C: 0.0000 0.5000 0.0000
C: 0.2500 0.8750 0.1250
C: 0.5000 0.0000 0.0000
C: 0.3750 0.1250 0.7500
C: 0.5000 0.0000 0.5000

No. 15
MgTl2Pb6 | PBE | optimized geometry

Properties
Calculated formation energy: 0.06 eV/atom
DFT total energy: -28.07 eV per cell
Energy above the most stable polymorph in this dataset: 61 meV/atom

Lattice parameters (Å, degrees): 6.6875 7.0589 7.0589 59.95 89.96 89.96
Fractional positions:
Pb: 0.3183 0.8241 0.8241
Pb: 0.3184 0.8244 0.3515
Pb: 0.6816 0.1756 0.6485
Pb: 0.6817 0.1759 0.1759
Pb: 0.3184 0.3515 0.8244
Pb: 0.6816 0.6485 0.1756
Mg: 0.0000 0.0000 0.0000
Tl: 0.1641 0.3336 0.3336
Tl: 0.8359 0.6664 0.6664

No. 16
LaPr2SmIn4 | PBE | optimized geometry

Properties
Calculated formation energy: -0.49 eV/atom
DFT total energy: -34.11 eV per cell

Lattice parameters (Å, degrees): 5.5086 5.5086 9.5610 73.26 73.26 60.00
Fractional positions:
Pr: 0.2498 0.2498 0.2507
Pr: 0.7502 0.7502 0.7493
In: 0.8737 0.8737 0.3788
In: 0.6237 0.6237 0.1289
In: 0.1263 0.1263 0.6212
In: 0.3763 0.3763 0.8711
Sm: 0.5000 0.5000 0.5000
La: 0.0000 0.0000 0.0000

No. 17
TbPr4Tm3 | PBE | optimized geometry

Properties
Calculated formation energy: 0.03 eV/atom
DFT total energy: -73.82 eV per cell

Lattice parameters (Å, degrees): 5.1152 10.1859 10.2313 90.00 90.00 90.00
Fractional positions:
Pr: 0.0644 0.1305 0.7495
Pr: 0.0644 0.8692 0.5000
Pr: 0.5644 0.1308 0.0000
Pr: 0.5644 0.8695 0.7505
Pr: 0.0644 0.8688 0.0000
Pr: 0.0644 0.1305 0.2505
Pr: 0.5644 0.8695 0.2495
Pr: 0.5644 0.1312 0.5000
Tm: 0.0644 0.6179 0.7501
Tm: 0.0644 0.3815 0.5000
Tm: 0.5644 0.3821 0.2501
Tm: 0.0644 0.6179 0.2499
Tm: 0.5644 0.6185 0.0000
Tm: 0.5644 0.3821 0.7499
Tb: 0.0644 0.3821 0.0000
Tb: 0.5644 0.6179 0.5000

No. 18
EuGdIn | PBE | optimized geometry

Properties
Calculated formation energy: -0.23 eV/atom
DFT total energy: -27.78 eV per cell
Energy above the most stable polymorph in this dataset: 34 meV/atom

Lattice parameters (Å, degrees): 3.6630 5.3837 5.3837 120.00 90.00 90.00
Fractional positions:
Gd: 0.3882 0.3333 0.6667
In: 0.6330 0.0000 0.0000
Eu: 0.9787 0.6667 0.3333

No. 19
Hf2ScP | PBE | optimized geometry

Properties
Calculated formation energy: -0.28 eV/atom
DFT total energy: -65.55 eV per cell

Lattice parameters (Å, degrees): 7.9155 7.9155 6.2299 50.56 50.56 90.00
Fractional positions:
P: 0.5000 0.5000 0.0000
P: 0.2500 0.7500 0.5000
Hf: 0.5602 0.1250 0.2500
Hf: 0.1898 0.6250 0.2500
Hf: 0.3750 0.4398 0.7500
Hf: 0.8750 0.8102 0.7500
Sc: 0.7500 0.2500 0.5000
Sc: 0.0000 0.0000 0.0000

No. 20
SrHfPd2 | PBE | optimized geometry

Properties
Calculated formation energy: -0.33 eV/atom
DFT total energy: -23.33 eV per cell
Energy above the most stable polymorph in this dataset: 301 meV/atom

Lattice parameters (Å, degrees): 4.9375 4.9375 4.9375 60.00 60.00 60.00
Fractional positions:
Pd: 0.7500 0.7500 0.7500
Pd: 0.2500 0.2500 0.2500
Sr: 0.0000 0.0000 0.0000
Hf: 0.5000 0.5000 0.5000

No. 21
CeTm3Pb2 | PBE | optimized geometry

Properties
Calculated formation energy: -0.25 eV/atom
DFT total energy: -56.52 eV per cell
Energy above the most stable polymorph in this dataset: 85 meV/atom

Lattice parameters (Å, degrees): 4.5693 10.5346 9.5164 124.54 90.00 102.53
Fractional positions:
Tm: 0.9420 0.8839 0.5689
Tm: 0.3629 0.7258 0.2080
Tm: 0.6931 0.3863 0.4981
Tm: 0.6371 0.2742 0.7920
Tm: 0.0580 0.1161 0.4311
Tm: 0.3069 0.6137 0.5019
Pb: 0.7555 0.5111 0.2178
Pb: 0.4872 0.9744 0.8251
Pb: 0.5128 0.0256 0.1749
Pb: 0.2445 0.4889 0.7822
Ce: 0.1146 0.2291 0.0934
Ce: 0.8854 0.7709 0.9066

No. 22
RbSc2Mo | PBE | optimized geometry

Properties
Calculated formation energy: 1.01 eV/atom
DFT total energy: -40.86 eV per cell
Energy above the most stable polymorph in this dataset: 464 meV/atom

Lattice parameters (Å, degrees): 7.7026 7.7026 7.7087 60.03 60.03 90.00
Fractional positions:
Sc: 0.3750 0.1250 0.7500
Sc: 0.8750 0.1250 0.7500
Sc: 0.8750 0.1250 0.2500
Sc: 0.8750 0.6250 0.2500
Rb: 0.5000 0.5000 0.0000
Rb: 0.2500 0.7500 0.5000
Mo: 0.7500 0.2500 0.5000
Mo: 0.0000 0.0000 0.0000